LiCu2PO4 | PBE-GGA | relaxed

Summary:
V	87	Å³/cell
formation energy (no corrections)	-11.94	eV/f.u.

Unit cell a=5.344 b=5.344 c=5.344 alpha=130.09 beta=130.09 gamma=73.27
Atoms (fractional coordinates):
1 O 0.079 0.682 0.974
2 O 0.895 0.921 0.603
3 O 0.708 0.105 0.026
4 O 0.318 0.292 0.397
5 Cu 0.250 0.750 0.500
6 Cu 0.500 0.500 0.000
7 P 0.000 0.000 0.000
8 Li 0.750 0.250 0.500